(1)
This record from the Alexandria database describes an optimized crystal structure of K5H4F. The functional is GGA-PBE.

Calculated values
total moment	0.0	μB/f.u.
total energy	-83.79	eV for the cell shown
crystal system	trigonal

Cell lengths 3.9679, 3.9679, 48.8108 Å; angles 90.00, 90.00, 120.00 degrees
Last column: nearest neighbours and their distance in Å.
Space group R-3m (No. 166, hexagonal axes)
Inequivalent atoms, fractional coordinates:
K: 0.0000 0.0000 0.0000 x3  6 H 2.82
K: 0.0000 0.0000 0.1979 x6  3 F 2.75, 3 H 2.82
K: 0.0000 0.0000 0.4011 x6  6 H 2.82-2.83
H: 0.0000 0.0000 0.1015 x6  6 K 2.82
H: 0.0000 0.0000 0.2995 x6  6 K 2.82-2.83
F: 0.0000 0.0000 0.5000 x3  6 K 2.75


(2)
This record from the Alexandria database describes an optimized crystal structure of SiRu. The functional is GGA-PBE.

Calculated values
E_form (uncorrected)	-0.43	eV/atom
total moment	0.0	μB/f.u.
total energy	-93.35	eV for the cell shown
crystal system	monoclinic

Cell lengths 11.1893, 2.8748, 5.2655 Å; angles 90.00, 108.38, 90.00 degrees
Last column: nearest neighbours and their distance in Å.
Space group Cm (No. 8)
Inequivalent atoms, fractional coordinates:
Si: 0.0000 0.0000 0.0000 x2  6 Ru 2.51-2.72, 2 Si 2.74
Si: 0.1574 0.5000 0.7624 x2  6 Ru 2.45-2.70
Si: 0.3312 0.0000 0.6031 x2  5 Ru 2.38-2.46
Ru: 0.1755 0.5000 0.2864 x2  6 Si 2.46-2.70
Ru: 0.3254 0.0000 0.0504 x2  5 Si 2.38-2.51
Ru: 0.4836 0.5000 0.5051 x2  5 Si 2.41-2.55


(3)
This record from the Alexandria database describes an optimized crystal structure of Dy3Tm3Al2. The functional is GGA-PBE.

Calculated values
total moment	0.0	μB/f.u.
total energy	-142.46	eV for the cell shown
crystal system	orthorhombic
formation energy from the elements	-113.5	meV/atom

Cell lengths 5.0981, 11.5236, 14.9971 Å; angles 90.00, 90.00, 90.00 degrees
Last column: nearest neighbours and their distance in Å.
Space group Cmcm (No. 63)
Inequivalent atoms, fractional coordinates:
Dy: 0.0000 0.0416 0.2500 x4  2 Al 3.14, 5 Tm 3.28-3.35
Dy: 0.0000 0.1492 0.5276 x8  3 Al 3.09-3.25
Tm: 0.0000 0.2432 0.7500 x4  4 Al 2.96, 1 Dy 3.28
Tm: 0.0000 0.4614 0.6054 x8  1 Al 3.04, 2 Tm 3.28-3.32, 2 Dy 3.35
Al: 0.0000 0.2820 0.1513 x8  1 Al 2.96, 3 Tm 2.96-3.04, 4 Dy 3.09-3.25


(4)
This record from the Alexandria database describes an optimized crystal structure of Mg3Cu2Ir. The functional is GGA-PBE.

Calculated values
total moment	0.0	μB/f.u.
total energy	-46.12	eV for the cell shown
crystal system	trigonal
formation energy from the elements	-203.5	meV/atom

Cell lengths 4.4255, 4.4255, 10.9042 Å; angles 90.00, 90.00, 120.00 degrees
Last column: nearest neighbours and their distance in Å.
Space group P-3m1 (No. 164)
Inequivalent atoms, fractional coordinates:
Mg: 0.0000 0.0000 0.2470 x2  5 Cu 2.69-2.76, 3 Ir 2.69
Mg: 0.3333 0.6667 0.4163 x2  1 Ir 2.70, 7 Cu 2.71-2.82
Mg: 0.3333 0.6667 0.9185 x2  4 Cu 2.66-2.71, 4 Ir 2.73
Cu: 0.0000 0.0000 0.0000 x1  8 Mg 2.69-2.71
Cu: 0.0000 0.0000 0.5000 x1  8 Mg 2.71-2.76
Cu: 0.3333 0.6667 0.6746 x2  8 Mg 2.66-2.82
Ir: 0.3333 0.6667 0.1684 x2  8 Mg 2.69-2.73


(5)
This record from the Alexandria database describes an optimized crystal structure of CaNdLuCd. The functional is GGA-PBE.

Calculated values
total moment	0.0	μB/f.u.
total energy	-48.81	eV for the cell shown
crystal system	cubic
formation energy from the elements	0.7	meV/atom

Cell lengths 7.8277, 7.8277, 7.8277 Å; angles 90.00, 90.00, 90.00 degrees
Last column: nearest neighbours and their distance in Å.
Space group F-43m (No. 216)
Inequivalent atoms, fractional coordinates:
Ca: 0.0000 0.0000 0.0000 x4  4 Nd 3.39, 4 Lu 3.39
Nd: 0.2500 0.2500 0.2500 x4  4 Cd 3.39, 4 Ca 3.39
Lu: 0.2500 0.2500 0.7500 x4  4 Cd 3.39, 4 Ca 3.39
Cd: 0.0000 0.0000 0.5000 x4  4 Lu 3.39, 4 Nd 3.39


(6)
This record from the Alexandria database describes an optimized crystal structure of Cs2UHg2Te6. The functional is GGA-PBE.

Calculated values
E_form (uncorrected)	-0.48	eV/atom
total moment	0.2	μB/f.u.
total energy	-75.45	eV for the cell shown
crystal system	monoclinic

Cell lengths 14.2880, 8.4337, 9.3685 Å; angles 90.00, 114.41, 90.00 degrees
Last column: nearest neighbours and their distance in Å.
Space group C2/m (No. 12)
Inequivalent atoms, fractional coordinates:
Cs: 0.2014 0.0000 0.1669 x4  5 Te 3.77-4.09
U: 0.0000 0.0000 0.5000 x2  6 Te 2.86-2.99
Hg: 0.0696 0.5000 0.3043 x4  3 Te 2.77-2.80
Te: 0.0479 0.2265 0.7670 x8  1 Hg 2.77, 1 U 2.99
Te: 0.2159 0.0000 0.5779 x4  1 Hg 2.80, 1 U 2.86


(7)
This record from the Alexandria database describes an optimized crystal structure of Ca3AsH3. The functional is GGA-PBE.

Calculated values
total moment	0.0	μB/f.u.
total energy	-153.63	eV for the cell shown
crystal system	trigonal

Cell lengths 6.9723, 6.9723, 20.1232 Å; angles 90.00, 90.00, 120.00 degrees
Last column: nearest neighbours and their distance in Å.
Space group R-3 (No. 148, hexagonal axes)
Inequivalent atoms, fractional coordinates:
Ca: 0.0042 0.6365 0.4092 x18  4 H 2.34-2.50
As: 0.0000 0.0000 0.1662 x6  6 Ca 2.86-2.89
H: 0.0136 0.7134 0.6268 x18  4 Ca 2.34-2.50


(8)
This record from the Alexandria database describes an optimized crystal structure of AlFe2B2. The functional is GGA-PBE.

Calculated values
total moment	2.9	μB/f.u.
total energy	-71.71	eV for the cell shown
crystal system	tetragonal
formation energy from the elements	-366.0	meV/atom

Cell lengths 5.5860, 5.5860, 2.8539 Å; angles 90.00, 90.00, 90.00 degrees
Last column: nearest neighbours and their distance in Å.
Space group P4/mbm (No. 127)
Inequivalent atoms, fractional coordinates:
Al: 0.0000 0.0000 0.0000 x2  4 B 2.25, 8 Fe 2.51
Fe: 0.1727 0.3273 0.5000 x4  6 B 2.16-2.22
B: 0.1123 0.6123 0.0000 x4  1 B 1.77


(9)
This record from the Alexandria database describes an optimized crystal structure of Ba2H5Au2. The functional is GGA-PBE.

Calculated values
total moment	0.0	μB/f.u.
total energy	-60.14	eV for the cell shown
crystal system	monoclinic

Cell lengths 13.1043, 4.4023, 5.6740 Å; angles 90.00, 94.57, 90.00 degrees
Last column: nearest neighbours and their distance in Å.
Space group C2/m (No. 12)
Inequivalent atoms, fractional coordinates:
Ba: 0.1275 0.0000 0.2450 x4  5 H 2.65-2.75
H: 0.0000 0.5000 0.5000 x2  2 Au 1.84
H: 0.1632 0.5000 0.0001 x4  1 Au 1.69
H: 0.1920 0.5000 0.4720 x4  1 Au 1.81
Au: 0.1115 0.5000 0.7175 x4  3 H 1.69-1.84


(10)
This record from the Alexandria database describes an optimized crystal structure of La4Sn8Ru. The functional is GGA-PBE.

Calculated values
total moment	0.0	μB/f.u.
total energy	-68.96	eV for the cell shown
crystal system	orthorhombic
formation energy from the elements	-611.6	meV/atom

Cell lengths 4.5628, 4.6788, 17.1939 Å; angles 90.00, 90.00, 90.00 degrees
Last column: nearest neighbours and their distance in Å.
Space group Pmm2 (No. 25)
Inequivalent atoms, fractional coordinates:
La: 0.0000 0.0000 0.0000 x1  10 Sn 3.32-3.46
La: 0.0000 0.5000 0.4875 x1  10 Sn 3.30-3.59, 1 Ru 3.66
La: 0.5000 0.0000 0.7873 x1  10 Sn 3.45-3.85, 4 Ru 3.59
La: 0.5000 0.5000 0.2924 x1  10 Sn 3.33-3.60
Sn: 0.0000 0.0000 0.3290 x1  2 Sn 3.11, 4 La 3.33
Sn: 0.0000 0.0000 0.6268 x1  2 Ru 2.66
Sn: 0.0000 0.5000 0.1433 x1  4 Sn 3.27, 4 La 3.40-3.43
Sn: 0.0000 0.5000 0.8514 x1  1 Ru 2.60
Sn: 0.5000 0.0000 0.1496 x1  4 Sn 3.27, 4 La 3.39-3.44
Sn: 0.5000 0.0000 0.4517 x1  2 Sn 3.11, 4 La 3.32
Sn: 0.5000 0.5000 0.6257 x1  2 Ru 2.62
Sn: 0.5000 0.5000 0.9648 x1  2 Sn 3.00, 4 La 3.32
Ru: 0.0000 0.5000 0.7002 x1  5 Sn 2.60-2.66


(11)
This record from the Alexandria database describes an optimized crystal structure of Fe2AgBi. The functional is GGA-PBE.

Calculated values
total moment	5.6	μB/f.u.
total energy	-82.55	eV for the cell shown
crystal system	tetragonal
formation energy from the elements	755.2	meV/atom

Cell lengths 4.0355, 4.0355, 19.1683 Å; angles 90.00, 90.00, 90.00 degrees
Last column: nearest neighbours and their distance in Å.
Space group I-42d (No. 122)
Inequivalent atoms, fractional coordinates:
Fe: 0.2033 0.2500 0.1250 x8  2 Fe 2.60, 2 Ag 2.73, 2 Bi 2.86
Ag: 0.0000 0.0000 0.0000 x4  4 Fe 2.73, 4 Bi 2.85
Bi: 0.0000 0.0000 0.5000 x4  4 Ag 2.85, 4 Fe 2.86


(12)
This record from the Alexandria database describes an optimized crystal structure of CsTlCd2Ru. The functional is GGA-PBE.

Calculated values
total moment	0.0	μB/f.u.
total energy	-13.68	eV for the cell shown
crystal system	tetragonal
formation energy from the elements	128.9	meV/atom

Cell lengths 5.4195, 5.4195, 5.3392 Å; angles 90.00, 90.00, 90.00 degrees
Last column: nearest neighbours and their distance in Å.
Space group P4/mmm (No. 123)
Inequivalent atoms, fractional coordinates:
Cs: 0.0000 0.0000 0.0000 x1  8 Cd 3.80, 4 Tl 3.83
Tl: 0.5000 0.5000 0.0000 x1  2 Ru 2.67
Cd: 0.0000 0.5000 0.5000 x2  2 Ru 2.71
Ru: 0.5000 0.5000 0.5000 x1  2 Tl 2.67, 4 Cd 2.71


(13)
This record from the Alexandria database describes an optimized crystal structure of Ba2LiPt. The functional is GGA-PBE.

Calculated values
total moment	0.0	μB/f.u.
total energy	-12.54	eV for the cell shown
crystal system	tetragonal
formation energy from the elements	-184.8	meV/atom

Cell lengths 4.7351, 4.7351, 6.5740 Å; angles 90.00, 90.00, 90.00 degrees
Last column: nearest neighbours and their distance in Å.
Space group P4mm (No. 99)
Inequivalent atoms, fractional coordinates:
Ba: 0.0000 0.0000 0.0000 x1  2 Li 3.20-3.38, 4 Pt 3.35
Ba: 0.5000 0.5000 0.4729 x1  2 Pt 3.25-3.32, 4 Li 3.36
Li: 0.0000 0.0000 0.5139 x1  6 Ba 3.20-3.38
Pt: 0.5000 0.5000 0.9780 x1  6 Ba 3.25-3.35


(14)
This record from the Alexandria database describes an optimized crystal structure of NbMoPt3. The functional is GGA-PBE.

Calculated values
total moment	0.0	μB/f.u.
total energy	-154.57	eV for the cell shown
crystal system	orthorhombic
formation energy from the elements	76.3	meV/atom

Cell lengths 7.2046, 10.8165, 4.8024 Å; angles 90.00, 90.00, 90.00 degrees
Last column: nearest neighbours and their distance in Å.
Space group Cmcm (No. 63)
Inequivalent atoms, fractional coordinates:
Nb: 0.0000 0.1414 0.2500 x4  8 Pt 2.70-2.86
Mo: 0.0000 0.5000 0.0000 x4  2 Mo 2.40, 6 Pt 2.62-2.68
Pt: 0.0000 0.2845 0.7500 x4  2 Mo 2.62, 2 Pt 2.64, 2 Nb 2.86
Pt: 0.1877 0.0748 0.7500 x8  4 Pt 2.64-2.90, 2 Mo 2.68, 3 Nb 2.70-2.85


(15)
This record from the Alexandria database describes an optimized crystal structure of RbH2Br. The functional is GGA-PBE.

Calculated values
total moment	2.0	μB/f.u.
total energy	-33.45	eV for the cell shown
crystal system	cubic

Cell lengths 7.1227, 7.1227, 7.1227 Å; angles 90.00, 90.00, 90.00 degrees
Last column: nearest neighbours and their distance in Å.
Space group Fm-3m (No. 225)
Inequivalent atoms, fractional coordinates:
Rb: 0.0000 0.0000 0.0000 x4  8 H 3.08
H: 0.2500 0.2500 0.2500 x8  4 Br 3.08, 4 Rb 3.08
Br: 0.0000 0.0000 0.5000 x4  8 H 3.08


(16)
This record from the Alexandria database describes an optimized crystal structure of NaYHgBr2. The functional is GGA-PBE.

Calculated values
E_form (uncorrected)	0.05	eV/atom
total moment	1.8	μB/f.u.
total energy	-11.16	eV for the cell shown
crystal system	tetragonal

Cell lengths 6.1436, 6.1436, 5.2560 Å; angles 90.00, 90.00, 90.00 degrees
Last column: nearest neighbours and their distance in Å.
Space group P4/mmm (No. 123)
Inequivalent atoms, fractional coordinates:
Na: 0.0000 0.0000 0.0000 x1  2 Hg 2.63
Y: 0.5000 0.5000 0.0000 x1  8 Br 4.04, 4 Na 4.34
Hg: 0.0000 0.0000 0.5000 x1  2 Na 2.63
Br: 0.0000 0.5000 0.5000 x2  2 Hg 3.07